A | VASP calculation (PBE) on HgRuC3 after structural relaxation.

**Spin magnetization**: 0.00 Bohr magnetons per cell
**Symmetry**: Pm-3m (221)
**N(E_F)**: 0.633 states/eV per atom

a = 4.155 Å, b = 4.155 Å, c = 4.155 Å
α = 90.00°, β = 90.00°, γ = 90.00°
Fractional positions:
C  0.000  0.000  0.500
C  0.000  0.500  0.000
C  0.500  0.000  0.000
Hg  0.000  0.000  0.000
Ru  0.500  0.500  0.500



B | VASP calculation (PBE) on HgRuC3 after structural relaxation.

**Spin magnetization**: 0.00 Bohr magnetons per cell
**Symmetry**: Pm-3m (221)
**N(E_F)**: 0.536 states/eV per atom

a = 4.062 Å, b = 4.062 Å, c = 4.062 Å
α = 90.00°, β = 90.00°, γ = 90.00°
Fractional positions:
C  0.000  0.000  0.500
C  0.500  0.000  0.000
C  0.000  0.500  0.000
Ru  0.000  0.000  0.000
Hg  0.500  0.500  0.500



So which one is most stable? That would be B, about 1669 meV/atom below the next structure.



A | VASP calculation (PBE) on HgCS2 after structural relaxation.

**Spin magnetization**: 0.00 Bohr magnetons per cell
**Symmetry**: R-3m (166)
**N(E_F)**: 0.000 states/eV per atom

a = 9.596 Å, b = 9.596 Å, c = 9.596 Å
α = 25.46°, β = 25.46°, γ = 25.46°
Fractional positions:
S  0.056  0.056  0.056
S  0.944  0.944  0.944
C  0.000  0.000  0.000
Hg  0.500  0.500  0.500



B | VASP calculation (PBE) on HgCS2 after structural relaxation.

**Spin magnetization**: 0.00 Bohr magnetons per cell
**Symmetry**: R-3m (166)
**N(E_F)**: 0.404 states/eV per atom

a = 9.286 Å, b = 9.286 Å, c = 9.286 Å
α = 18.45°, β = 18.45°, γ = 18.45°
Fractional positions:
S  0.122  0.122  0.122
S  0.878  0.878  0.878
Hg  0.000  0.000  0.000
C  0.500  0.500  0.500



C | VASP calculation (PBE) on HgCS2 after structural relaxation.

**Spin magnetization**: 0.00 Bohr magnetons per cell
**Symmetry**: Fm-3m (225)
**N(E_F)**: 0.548 states/eV per atom

a = 4.542 Å, b = 4.542 Å, c = 4.542 Å
α = 60.00°, β = 60.00°, γ = 60.00°
Fractional positions:
Hg  0.500  0.500  0.500
S  0.750  0.750  0.750
S  0.250  0.250  0.250
C  0.000  0.000  0.000



D | VASP calculation (PBE) on HgCS2 after structural relaxation.

**Spin magnetization**: 0.00 Bohr magnetons per cell
**Symmetry**: I-42d (122)
**N(E_F)**: 0.020 states/eV per atom

a = 6.231 Å, b = 6.231 Å, c = 5.776 Å
α = 57.36°, β = 57.36°, γ = 90.00°
Fractional positions:
S  0.266  0.625  0.250
S  0.484  0.125  0.250
S  0.375  0.516  0.750
S  0.875  0.734  0.750
C  0.250  0.750  0.500
C  0.500  0.500  0.000
Hg  0.750  0.250  0.500
Hg  0.000  0.000  0.000



So which one is most stable? That would be A, about 636 meV/atom below the next structure.



A | VASP calculation (PBE) on HgCS3 after structural relaxation.

**Spin magnetization**: 0.00 Bohr magnetons per cell
**Symmetry**: Pm-3m (221)
**N(E_F)**: 1.518 states/eV per atom

a = 4.960 Å, b = 4.960 Å, c = 4.960 Å
α = 90.00°, β = 90.00°, γ = 90.00°
Fractional positions:
S  0.000  0.500  0.000
S  0.000  0.000  0.500
S  0.500  0.000  0.000
Hg  0.000  0.000  0.000
C  0.500  0.500  0.500



B | VASP calculation (PBE) on HgCS3 after structural relaxation.

**Spin magnetization**: 0.00 Bohr magnetons per cell
**Symmetry**: Pm-3m (221)
**N(E_F)**: 0.679 states/eV per atom

a = 4.271 Å, b = 4.271 Å, c = 4.271 Å
α = 90.00°, β = 90.00°, γ = 90.00°
Fractional positions:
S  0.000  0.000  0.500
S  0.000  0.500  0.000
S  0.500  0.000  0.000
Hg  0.500  0.500  0.500
C  0.000  0.000  0.000



So which one is most stable? That would be B, about 1146 meV/atom below the next structure.